# PBEsol Sn3Se, optimized geometry
data_Sn3Se
_space_group_name_H-M_alt 'F m -3 m'
_space_group_IT_number 225
_space_group_name_Hall '-F 4 2 3'
_cell_length_a 7.2995
_cell_length_b 7.2995
_cell_length_c 7.2995
_cell_angle_alpha 90.00
_cell_angle_beta 90.00
_cell_angle_gamma 90.00
loop_
_atom_site_label
_atom_site_fract_x
_atom_site_fract_y
_atom_site_fract_z
_atom_site_occupancy
Sn1 0.0000 0.0000 0.0000 1
Sn2 0.2500 0.2500 0.2500 1
Se1 0.0000 0.0000 0.5000 1
# D(E_F) in states/eV per atom: 0.5671
# Total energy in eV/atom: -4.17

# PBEsol SrSnSe3, optimized geometry
data_SrSnSe3
_space_group_name_H-M_alt 'P m -3 m'
_space_group_IT_number 221
_space_group_name_Hall '-P 4 2 3'
_cell_length_a 5.2391
_cell_length_b 5.2391
_cell_length_c 5.2391
_cell_angle_alpha 90.00
_cell_angle_beta 90.00
_cell_angle_gamma 90.00
loop_
_atom_site_label
_atom_site_fract_x
_atom_site_fract_y
_atom_site_fract_z
_atom_site_occupancy
Sr1 0.0000 0.0000 0.0000 1
Sn1 0.5000 0.5000 0.5000 1
Se1 0.0000 0.5000 0.5000 1
# D(E_F) in states/eV per atom: 0.5420
# Total energy in eV/atom: -4.24

# PBEsol Sr4Sn2Se9, optimized geometry
data_Sr4Sn2Se9
_space_group_name_H-M_alt 'P b a m'
_space_group_IT_number 55
_cell_length_a 11.9265
_cell_length_b 15.9646
_cell_length_c 8.5410
_cell_angle_alpha 90.00
_cell_angle_beta 90.00
_cell_angle_gamma 90.00
loop_
_space_group_symop_operation_xyz
'x,y,z'
'-x,-y,-z'
'-x,-y,z'
'x,y,-z'
'x+1/2,-y+1/2,-z'
'-x+1/2,y+1/2,z'
'-x+1/2,y+1/2,-z'
'x+1/2,-y+1/2,z'
loop_
_atom_site_label
_atom_site_fract_x
_atom_site_fract_y
_atom_site_fract_z
_atom_site_occupancy
Sr1 0.1127 0.1723 0.2478 1
Sr2 0.2456 0.9267 0.2523 1
Sn1 0.0500 0.6074 0.5000 1
Sn2 0.0866 0.6746 0.0000 1
Se1 0.0000 0.5000 0.2705 1
Se2 0.0371 0.9287 0.5000 1
Se3 0.0412 0.9302 0.0000 1
Se4 0.1280 0.3188 0.0000 1
Se5 0.1291 0.7471 0.2611 1
Se6 0.1371 0.3124 0.5000 1
Se7 0.2415 0.0716 0.5000 1
Se8 0.2435 0.5670 0.0000 1
# Total energy in eV/atom: -4.62

E_form (uncorrected) per entry: -0.01 -0.71 -1.25 eV per atom